No. 1
{"formula": "La2MgTi2", "functional": "PBE", "state": "relaxed", "e_tot_ev_per_cell": -23.9, "relative_energy_mev_per_atom": 369, "space_group": "No. 139", "formation_energy_mev_per_atom": 670.6, "lattice": [[-2.253, 2.253, 6.859], [2.253, -2.253, 6.859], [2.253, 2.253, -6.859]], "species": ["La", "La", "Mg", "Ti", "Ti"], "frac_coords": [[0.250, 0.750, 0.500], [0.750, 0.250, 0.500], [0.000, 0.000, 0.000], [0.425, 0.425, 0.000], [0.575, 0.575, 0.000]]}

***

No. 2
{"formula": "LaMgTi2Zn", "functional": "PBE", "state": "relaxed", "e_tot_ev_per_cell": -17.9, "space_group": "No. 123", "formation_energy_mev_per_atom": 1144.8, "lattice": [[4.956, 0.000, 0.000], [0.000, 4.956, 0.000], [0.000, 0.000, 5.559]], "species": ["La", "Mg", "Ti", "Ti", "Zn"], "frac_coords": [[0.000, 0.000, 0.000], [0.000, 0.000, 0.500], [0.000, 0.500, 0.500], [0.500, 0.000, 0.500], [0.500, 0.500, 0.000]]}

***

No. 3
{"formula": "LaMgTl2", "functional": "PBE", "state": "relaxed", "e_tot_ev_per_cell": -12.5, "relative_energy_mev_per_atom": 0, "space_group": "No. 225", "formation_energy_mev_per_atom": -313.1, "lattice": [[0.000, 3.825, 3.825], [3.825, 0.000, 3.825], [3.825, 3.825, 0.000]], "species": ["La", "Mg", "Tl", "Tl"], "frac_coords": [[0.000, 0.000, 0.000], [0.500, 0.500, 0.500], [0.250, 0.250, 0.250], [0.750, 0.750, 0.750]]}

***

No. 4
{"formula": "La4MgTl", "functional": "PBE", "state": "relaxed", "e_tot_ev_per_cell": -23.0, "relative_energy_mev_per_atom": 96, "space_group": "No. 12", "formation_energy_mev_per_atom": 108.8, "lattice": [[3.748, -3.748, 0.000], [3.748, 3.748, 0.000], [-0.014, 0.000, 8.158]], "species": ["La", "La", "La", "La", "Mg", "Tl"], "frac_coords": [[0.000, 0.500, 0.247], [0.000, 0.500, 0.753], [0.500, 0.000, 0.247], [0.500, 0.000, 0.753], [0.000, 0.000, 0.500], [0.500, 0.500, 0.000]]}

***

No. 5
{"formula": "La2Mg16Tl", "functional": "PBE", "state": "relaxed", "e_tot_ev_per_cell": -39.5, "space_group": "No. 160", "formation_energy_mev_per_atom": -93.5, "lattice": [[5.177, 2.989, 5.085], [-5.177, 2.989, 5.085], [0.000, -5.978, 5.085]], "species": ["La", "La", "Mg", "Mg", "Mg", "Mg", "Mg", "Mg", "Mg", "Mg", "Mg", "Mg", "Mg", "Mg", "Mg", "Mg", "Mg", "Mg", "Tl"], "frac_coords": [[0.000, 0.000, 0.000], [0.342, 0.342, 0.342], [0.020, 0.020, 0.514], [0.020, 0.514, 0.020], [0.170, 0.672, 0.672], [0.319, 0.319, 0.839], [0.319, 0.839, 0.319], [0.368, 0.672, 0.976], [0.368, 0.976, 0.672], [0.514, 0.020, 0.020], [0.672, 0.170, 0.672], [0.672, 0.368, 0.976], [0.672, 0.672, 0.170], [0.672, 0.976, 0.368], [0.765, 0.765, 0.765], [0.839, 0.319, 0.319], [0.976, 0.368, 0.672], [0.976, 0.672, 0.368], [0.569, 0.569, 0.569]]}

***

No. 6
{"formula": "La2Mg2Tl", "functional": "PBE", "state": "relaxed", "e_tot_ev_per_cell": -30.4, "relative_energy_mev_per_atom": 244, "space_group": "No. 127", "formation_energy_mev_per_atom": 44.6, "lattice": [[9.506, 0.000, 0.000], [0.000, 9.506, 0.000], [0.000, 0.000, 3.559]], "species": ["La", "La", "La", "La", "Mg", "Mg", "Mg", "Mg", "Tl", "Tl"], "frac_coords": [[0.180, 0.320, 0.000], [0.320, 0.820, 0.000], [0.680, 0.180, 0.000], [0.820, 0.680, 0.000], [0.115, 0.615, 0.500], [0.385, 0.115, 0.500], [0.615, 0.885, 0.500], [0.885, 0.385, 0.500], [0.000, 0.000, 0.000], [0.500, 0.500, 0.000]]}

***

No. 7
{"formula": "La4MgTl2", "functional": "PBE", "state": "relaxed", "e_tot_ev_per_cell": -27.6, "relative_energy_mev_per_atom": 0, "space_group": "No. 166", "formation_energy_mev_per_atom": -230.1, "lattice": [[2.767, 1.597, 8.831], [-2.767, 1.597, 8.831], [0.000, -3.195, 8.831]], "species": ["La", "La", "La", "La", "Mg", "Tl", "Tl"], "frac_coords": [[0.114, 0.114, 0.114], [0.367, 0.367, 0.367], [0.633, 0.633, 0.633], [0.886, 0.886, 0.886], [0.500, 0.500, 0.500], [0.242, 0.242, 0.242], [0.758, 0.758, 0.758]]}

***

No. 8
{"formula": "LaMgTl", "functional": "PBE", "state": "relaxed", "e_tot_ev_per_cell": -19.4, "space_group": "No. 156", "formation_energy_mev_per_atom": -273.5, "lattice": [[5.375, 0.000, 0.000], [-2.687, 4.655, 0.000], [0.000, 0.000, 6.937]], "species": ["La", "La", "Mg", "Mg", "Tl", "Tl"], "frac_coords": [[0.000, 0.000, 0.000], [0.333, 0.667, 0.380], [0.333, 0.667, 0.857], [0.667, 0.333, 0.691], [0.000, 0.000, 0.535], [0.667, 0.333, 0.161]]}

***

No. 9
{"formula": "LaMgTl2", "functional": "PBE", "state": "relaxed", "e_tot_ev_per_cell": -24.1, "relative_energy_mev_per_atom": 118, "space_group": "No. 164", "formation_energy_mev_per_atom": -195.4, "lattice": [[5.143, 0.000, 0.000], [-2.572, 4.454, 0.000], [0.000, 0.000, 10.525]], "species": ["La", "La", "Mg", "Mg", "Tl", "Tl", "Tl", "Tl"], "frac_coords": [[0.000, 0.000, 0.200], [0.000, 0.000, 0.800], [0.333, 0.667, 0.609], [0.667, 0.333, 0.391], [0.333, 0.667, 0.324], [0.333, 0.667, 0.956], [0.667, 0.333, 0.044], [0.667, 0.333, 0.676]]}

***

No. 10
{"formula": "LaMgTl", "functional": "PBE", "state": "relaxed", "e_tot_ev_per_cell": -19.1, "space_group": "No. 38", "formation_energy_mev_per_atom": -212.8, "lattice": [[5.273, 0.000, 0.000], [0.000, 2.434, 6.730], [0.000, -2.434, 6.730]], "species": ["La", "La", "Mg", "Mg", "Tl", "Tl"], "frac_coords": [[0.000, 0.000, 0.000], [0.500, 0.191, 0.191], [0.000, 0.702, 0.702], [0.500, 0.859, 0.859], [0.000, 0.336, 0.336], [0.500, 0.520, 0.520]]}

***

No. 11
{"formula": "La3MgTl2", "functional": "PBE", "state": "relaxed", "e_tot_ev_per_cell": -23.0, "relative_energy_mev_per_atom": 10, "space_group": "No. 123", "formation_energy_mev_per_atom": -321.2, "lattice": [[3.939, 0.000, 0.000], [0.000, 3.939, 0.000], [0.000, 0.000, 12.149]], "species": ["La", "La", "La", "Mg", "Tl", "Tl"], "frac_coords": [[0.000, 0.000, 0.000], [0.000, 0.000, 0.339], [0.000, 0.000, 0.661], [0.500, 0.500, 0.500], [0.500, 0.500, 0.174], [0.500, 0.500, 0.826]]}

***

No. 12
{"formula": "LaMgTl", "functional": "PBE", "state": "relaxed", "e_tot_ev_per_cell": -9.0, "space_group": "No. 156", "formation_energy_mev_per_atom": -50.0, "lattice": [[3.487, 0.000, 0.000], [-1.744, 3.020, 0.000], [0.000, 0.000, 8.360]], "species": ["La", "Mg", "Tl"], "frac_coords": [[0.000, 0.000, 0.000], [0.667, 0.333, 0.356], [0.333, 0.667, 0.655]]}

***

No. 13
{"formula": "LaMg5Tl3", "functional": "PBE", "state": "relaxed", "e_tot_ev_per_cell": -41.6, "space_group": "No. 63", "formation_energy_mev_per_atom": -91.5, "lattice": [[2.101, -7.735, 0.000], [2.101, 7.735, 0.000], [0.000, 0.000, 14.652]], "species": ["La", "La", "Mg", "Mg", "Mg", "Mg", "Mg", "Mg", "Mg", "Mg", "Mg", "Mg", "Tl", "Tl", "Tl", "Tl", "Tl", "Tl"], "frac_coords": [[0.152, 0.848, 0.750], [0.848, 0.152, 0.250], [0.000, 0.000, 0.000], [0.000, 0.000, 0.500], [0.193, 0.807, 0.057], [0.193, 0.807, 0.443], [0.442, 0.558, 0.646], [0.442, 0.558, 0.854], [0.558, 0.442, 0.146], [0.558, 0.442, 0.354], [0.807, 0.193, 0.557], [0.807, 0.193, 0.943], [0.157, 0.843, 0.250], [0.380, 0.620, 0.070], [0.380, 0.620, 0.430], [0.620, 0.380, 0.570], [0.620, 0.380, 0.930], [0.843, 0.157, 0.750]]}